Record 1
Material: TlFe2SnAu
Method: DFT, PBE
State: relaxed

Lattice parameters (Å, degrees): 4.923 4.923 5.743 90.00 90.00 90.00
Space group P4/mmm (No. 123)
Symmetry-distinct sites (fractional):
1 Tl 0.000 0.000 0.000 [1 per cell]
2 Fe 0.000 0.500 0.500 [2 per cell]
3 Sn 0.000 0.000 0.500 [1 per cell]
4 Au 0.500 0.500 0.000 [1 per cell]

Output
- energy above the lowest structure with this stoichiometry (kcal/mol of atoms) = 0.00
- density (g/cm³) = 7.5
- DOS(E_F) (states/eV/cell) = 5.276
- crystal system = tetragonal
- ΔE_f (meV/atom) = 1207

***

Record 2
Material: SrFeAu2
Method: DFT, PBE
State: relaxed

Lattice parameters (Å, degrees): 6.956 6.956 6.956 90.00 90.00 90.00
Space group F-43m (No. 216)
Symmetry-distinct sites (fractional):
1 Sr 0.000 0.000 0.000 [4 per cell]
2 Fe 0.250 0.250 0.250 [4 per cell]
3 Au 0.000 0.000 0.500 [4 per cell]
4 Au 0.250 0.250 0.750 [4 per cell]

Output
- energy above the lowest structure with this stoichiometry (kcal/mol of atoms) = 8.63
- density (g/cm³) = 10.6
- DOS(E_F) (states/eV/cell) = 20.426
- crystal system = cubic
- ΔE_f (meV/atom) = 130

***

Record 3
Material: SrFeAu4
Method: DFT, PBE
State: relaxed

Lattice parameters (Å, degrees): 7.953 7.953 7.953 90.00 90.00 90.00
Space group F-43m (No. 216)
Symmetry-distinct sites (fractional):
1 Sr 0.000 0.000 0.000 [4 per cell]
2 Fe 0.250 0.250 0.250 [4 per cell]
3 Au 0.125 0.125 0.625 [16 per cell]

Output
- density (g/cm³) = 12.3
- DOS(E_F) (states/eV/cell) = 16.839
- crystal system = cubic
- ΔE_f (meV/atom) = -52